Cs3Rb2Na (PBE, optimized geometry); SG = Pmc2_1, No. 26; calculated volume = 1112.8 Å³/cell; raw total energy = -0.0347 Ha/atom; E_form = 2.4 kJ/mol of atoms; crystal system = orthorhombic
1.0
7.4660 0.0000 0.0000
0.0000 14.5586 0.0000
0.0000 0.0000 10.2379
Cs Rb Na
6 4 2
direct
0.0000 0.0393 0.0000
0.0000 0.2942 0.3721
0.0000 0.7058 0.8721
0.0000 0.9607 0.5000
0.5000 0.4515 0.1115
0.5000 0.5485 0.6115
0.0000 0.3590 0.8419
0.0000 0.6410 0.3419
0.5000 0.1671 0.6983
0.5000 0.8329 0.1983
0.5000 0.1310 0.2497
0.5000 0.8690 0.7497

***

CsRbNa (PBE, optimized geometry); SG = I4mm, No. 107; calculated volume = 465.0 Å³/cell; raw total energy = -0.0375 Ha/atom; E_form = 2.5 kJ/mol of atoms; crystal system = tetragonal; energy relative to the lowest polymorph listed for this composition = 3 meV/atom
1.0
5.2303 0.0000 0.0000
0.0000 5.2303 0.0000
0.0000 0.0000 16.9994
Cs Rb Na
2 2 2
direct
0.0000 0.0000 0.0000
0.5000 0.5000 0.5000
0.0000 0.0000 0.7126
0.5000 0.5000 0.2126
0.0000 0.0000 0.3433
0.5000 0.5000 0.8433

***

Cs12Rb5Na3 (PBE, optimized geometry); SG = Ia-3d, No. 230; calculated volume = 9615.4 Å³/cell; raw total energy = -0.0295 Ha/atom; E_form = 14.5 kJ/mol of atoms; crystal system = cubic
1.0
-13.3958 13.3958 13.3958
13.3958 -13.3958 13.3958
13.3958 13.3958 -13.3958
Cs Rb Na
48 20 12
direct
0.0597 0.6329 0.3931
0.0597 0.9268 0.6666
0.0732 0.2398 0.1329
0.0732 0.3334 0.9403
0.1069 0.7398 0.6666
0.1069 0.8671 0.4403
0.1329 0.0732 0.2398
0.1329 0.5597 0.8931
0.1666 0.2398 0.6069
0.1666 0.4268 0.5597
0.2398 0.1329 0.0732
0.2398 0.6069 0.1666
0.2602 0.3334 0.8931
0.2602 0.4268 0.3671
0.3334 0.8931 0.2602
0.3334 0.9403 0.0732
0.3671 0.2602 0.4268
0.3671 0.6069 0.9403
0.3931 0.0597 0.6329
0.3931 0.8334 0.7602
0.4268 0.3671 0.2602
0.4268 0.5597 0.1666
0.4403 0.1069 0.8671
0.4403 0.8334 0.5732
0.5597 0.1666 0.4268
0.5597 0.8931 0.1329
0.5732 0.4403 0.8334
0.5732 0.6329 0.7398
0.6069 0.1666 0.2398
0.6069 0.9403 0.3671
0.6329 0.3931 0.0597
0.6329 0.7398 0.5732
0.6666 0.0597 0.9268
0.6666 0.1069 0.7398
0.7398 0.5732 0.6329
0.7398 0.6666 0.1069
0.7602 0.3931 0.8334
0.7602 0.8671 0.9268
0.8334 0.5732 0.4403
0.8334 0.7602 0.3931
0.8671 0.4403 0.1069
0.8671 0.9268 0.7602
0.8931 0.1329 0.5597
0.8931 0.2602 0.3334
0.9268 0.6666 0.0597
0.9268 0.7602 0.8671
0.9403 0.0732 0.3334
0.9403 0.3671 0.6069
0.0000 0.0000 0.0000
0.0000 0.0000 0.5000
0.0000 0.5000 0.0000
0.0000 0.5000 0.5000
0.1250 0.7500 0.8750
0.1250 0.8750 0.2500
0.2500 0.1250 0.8750
0.2500 0.6250 0.3750
0.3750 0.2500 0.6250
0.3750 0.6250 0.7500
0.5000 0.0000 0.0000
0.5000 0.0000 0.5000
0.5000 0.5000 0.0000
0.5000 0.5000 0.5000
0.6250 0.3750 0.2500
0.6250 0.7500 0.3750
0.7500 0.3750 0.6250
0.7500 0.8750 0.1250
0.8750 0.1250 0.7500
0.8750 0.2500 0.1250
0.1250 0.2500 0.3750
0.1250 0.3750 0.7500
0.2500 0.3750 0.1250
0.2500 0.8750 0.6250
0.3750 0.1250 0.2500
0.3750 0.7500 0.1250
0.6250 0.2500 0.8750
0.6250 0.8750 0.7500
0.7500 0.1250 0.3750
0.7500 0.6250 0.8750
0.8750 0.6250 0.2500
0.8750 0.7500 0.6250

***

CsRb4Na (PBE, optimized geometry); SG = C2/m, No. 12; calculated volume = 1042.4 Å³/cell; raw total energy = -0.0361 Ha/atom; E_form = 2.4 kJ/mol of atoms; crystal system = monoclinic; energy relative to the lowest polymorph listed for this composition = 8 meV/atom
1.0
12.0838 -5.5371 0.0000
12.0838 5.5371 0.0000
-2.7474 0.0000 7.7893
Cs Rb Na
2 8 2
direct
0.2070 0.2070 0.2077
0.7930 0.7930 0.7923
0.1093 0.6594 0.3845
0.1975 0.8025 0.0000
0.3330 0.3330 0.8335
0.3406 0.8907 0.6155
0.6594 0.1093 0.3845
0.6670 0.6670 0.1665
0.8025 0.1975 0.0000
0.8907 0.3406 0.6155
0.5002 0.5002 0.2845
0.4998 0.4998 0.7155

***

CsRb4Na (PBE, optimized geometry); SG = P4/mmm, No. 123; calculated volume = 507.6 Å³/cell; raw total energy = -0.0364 Ha/atom; E_form = 1.7 kJ/mol of atoms; crystal system = tetragonal; energy relative to the lowest polymorph listed for this composition = 0 meV/atom
1.0
5.1490 0.0000 0.0000
0.0000 5.1490 0.0000
0.0000 0.0000 19.1470
Cs Rb Na
1 4 1
direct
0.0000 0.0000 0.0000
0.0000 0.0000 0.3769
0.0000 0.0000 0.6231
0.5000 0.5000 0.2000
0.5000 0.5000 0.8000
0.5000 0.5000 0.5000

***

Cs9Rb3Na2 (PBE, optimized geometry); SG = Immm, No. 71; calculated volume = 1413.7 Å³/cell; raw total energy = -0.0334 Ha/atom; E_form = 3.5 kJ/mol of atoms; crystal system = orthorhombic
1.0
-2.8339 10.5634 11.8059
2.8339 -10.5634 11.8059
2.8339 10.5634 -11.8059
Cs Rb Na
9 3 2
direct
0.0000 0.0000 0.0000
0.0436 0.1895 0.8540
0.2478 0.8750 0.3728
0.3355 0.1895 0.1460
0.4978 0.1250 0.3728
0.5022 0.8750 0.6272
0.6645 0.8105 0.8540
0.7522 0.1250 0.6272
0.9564 0.8105 0.1460
0.2047 0.5000 0.7047
0.5000 0.5000 0.0000
0.7953 0.5000 0.2953
0.1426 0.6426 0.5000
0.8574 0.3574 0.5000

***

Q: Among the records above, which one has the lowest calculated volume?
A: CsRbNa

***

Q: The highest E_form belongs to which entry?
A: Cs12Rb5Na3